Here is a crystal of SbTeBr2 relaxed with PBEsol from Alexandria via LeMat-Bulk. Energies are from SCAN.

Cell lengths 4.630, 4.665, 4.665 Å; angles 90.00, 90.00, 90.00 degrees
Element x y z (fractional)
Sb: 0.500 0.500 0.500
Te: 0.500 0.000 0.000
Br: 0.000 0.000 0.500
Br: 0.000 0.500 0.000

- Formation energy (no corrections): 0.287 eV/atom
- Polymorph energy (0 for the lowest one): 292 meV/atom
- Total energy: -112.3 eV/cell